## ErTmAg2O4 (GGA-PBE)

Data for a relaxed ErTmAg2O4 crystal.

The calculation puts the calculated volume at 15.8 Å³ per atom. The total energy is -53.11 eV per formula unit. The mass density comes out at 8068 kg/m3.

Lattice parameters (Å, degrees): 3.4219 3.4219 12.5016 90.00 90.00 120.00
Space group P-3m1 (No. 164)
Asymmetric unit:
Er1 0.0000 0.0000 0.0000
Tm1 0.0000 0.0000 0.5000
Ag1 0.3333 0.6667 0.7494
O1 0.3333 0.6667 0.5835
O2 0.3333 0.6667 0.9152


## HfZrCd2In (GGA-PBE)

Data for a relaxed HfZrCd2In crystal.

The calculation puts the calculated volume at 21.3 Å³ per atom. The total energy is -23.50 eV per formula unit. The mass density comes out at 9493 kg/m3.

Lattice parameters (Å, degrees): 3.122 4.695 14.543 90.00 90.00 90.00
Space group Amm2 (No. 38)
Asymmetric unit:
Hf1 0.000 0.000 0.000
Zr1 0.000 0.000 0.785
Cd1 0.500 0.000 0.192
Cd2 0.500 0.000 0.591
In1 0.500 0.000 0.393


## HfNiGe2 (GGA-PBE)

Data for a relaxed HfNiGe2 crystal.

The calculation puts the calculated volume at 16.7 Å³ per atom. The total energy is -24.87 eV per formula unit. The mass density comes out at 9502 kg/m3.

Lattice parameters (Å, degrees): 6.442 6.442 6.442 90.00 90.00 90.00
Space group F-43m (No. 216)
Asymmetric unit:
Hf1 0.000 0.000 0.000
Ni1 0.250 0.250 0.750
Ge1 0.000 0.000 0.500
Ge2 0.250 0.250 0.250


## MgTlReW (GGA-PBE)

Data for a relaxed MgTlReW crystal.

The excess energy over the best structure of this formula in the dataset is 0.0 kJ per mole of atoms. The calculation puts the calculated volume at 17.2 Å³ per atom. The total energy is -26.83 eV per formula unit. The mass density comes out at 14477 kg/m3.

Lattice parameters (Å, degrees): 6.501 6.501 6.501 90.00 90.00 90.00
Space group F-43m (No. 216)
Asymmetric unit:
Mg1 0.000 0.000 0.000
Tl1 0.250 0.250 0.250
Re1 0.000 0.000 0.500
W1 0.250 0.250 0.750